{"formula": "GdZnPd2", "functional": "PBE", "state": "relaxed", "n_ef_per_ev_fu": 2.3, "e_form_ev_per_atom": -0.65, "sg": "No. 123", "lattice": [[3.3504, 0.0000, 0.0000], [0.0000, 3.3504, 0.0000], [0.0000, 0.0000, 6.5103]], "species": ["Gd", "Zn", "Pd", "Pd"], "fractional_positions": [[0.0000, 0.0000, 0.0000], [0.0000, 0.0000, 0.5000], [0.5000, 0.5000, 0.2858], [0.5000, 0.5000, 0.7142]]}

{"formula": "ZnTeCl2", "functional": "PBE", "state": "relaxed", "de_polymorph_ev_per_fu": 0.80, "n_ef_per_ev_fu": 1.8, "raw_formation_energy_ev_per_atom": -0.425, "sg": "No. 12", "lattice": [[13.9240, 0.0000, 0.0000], [0.0000, 3.1883, 0.0000], [-3.8236, 0.0000, 6.3309]], "species": ["Zn", "Zn", "Te", "Te", "Cl", "Cl", "Cl", "Cl"], "fractional_positions": [[0.0000, 0.0000, 0.0000], [0.5000, 0.5000, 0.0000], [0.0000, 0.5000, 0.5000], [0.5000, 0.0000, 0.5000], [0.1415, 0.5000, 0.1344], [0.3585, 0.0000, 0.8656], [0.6415, 0.0000, 0.1344], [0.8585, 0.5000, 0.8656]]}

{"formula": "V2CoTe6", "functional": "PBE", "state": "relaxed", "de_polymorph_ev_per_fu": 0.62, "n_ef_per_ev_fu": 7.4, "raw_formation_energy_ev_per_atom": -0.128, "sg": "No. 136", "lattice": [[6.2944, 0.0000, 0.0000], [0.0000, 6.2944, 0.0000], [0.0000, 0.0000, 11.3500]], "species": ["V", "V", "V", "V", "Co", "Co", "Te", "Te", "Te", "Te", "Te", "Te", "Te", "Te", "Te", "Te", "Te", "Te"], "fractional_positions": [[0.0000, 0.0000, 0.1499], [0.0000, 0.0000, 0.8501], [0.5000, 0.5000, 0.3501], [0.5000, 0.5000, 0.6499], [0.0000, 0.0000, 0.5000], [0.5000, 0.5000, 0.0000], [0.1927, 0.1927, 0.3301], [0.1927, 0.1927, 0.6699], [0.2195, 0.2195, 0.0000], [0.2805, 0.7195, 0.5000], [0.3073, 0.6927, 0.1699], [0.3073, 0.6927, 0.8301], [0.6927, 0.3073, 0.1699], [0.6927, 0.3073, 0.8301], [0.7195, 0.2805, 0.5000], [0.7805, 0.7805, 0.0000], [0.8073, 0.8073, 0.3301], [0.8073, 0.8073, 0.6699]]}

{"formula": "SrLiGaAu2", "functional": "PBE", "state": "relaxed", "n_ef_per_ev_fu": 2.1, "e_form_ev_per_atom": -0.63, "sg": "No. 119", "lattice": [[4.2700, 0.0000, 0.0000], [0.0000, 4.2700, 0.0000], [0.0000, 0.0000, 12.0984]], "species": ["Sr", "Sr", "Li", "Li", "Ga", "Ga", "Au", "Au", "Au", "Au"], "fractional_positions": [[0.0000, 0.0000, 0.0000], [0.5000, 0.5000, 0.5000], [0.0000, 0.5000, 0.2500], [0.5000, 0.0000, 0.7500], [0.0000, 0.5000, 0.7500], [0.5000, 0.0000, 0.2500], [0.0000, 0.0000, 0.3818], [0.0000, 0.0000, 0.6182], [0.5000, 0.5000, 0.1182], [0.5000, 0.5000, 0.8818]]}

{"formula": "ScPd7Au12", "functional": "PBE", "state": "relaxed", "n_ef_per_ev_fu": 7.7, "e_form_ev_per_atom": -0.15, "sg": "No. 148", "lattice": [[6.0530, 3.4947, 2.7947], [-6.0530, 3.4947, 2.7947], [0.0000, -6.9894, 2.7947]], "species": ["Sc", "Pd", "Pd", "Pd", "Pd", "Pd", "Pd", "Pd", "Au", "Au", "Au", "Au", "Au", "Au", "Au", "Au", "Au", "Au", "Au", "Au"], "fractional_positions": [[0.0000, 0.0000, 0.0000], [0.0179, 0.3219, 0.9027], [0.0973, 0.9821, 0.6781], [0.3219, 0.9027, 0.0179], [0.5000, 0.5000, 0.5000], [0.6781, 0.0973, 0.9821], [0.9027, 0.0179, 0.3219], [0.9821, 0.6781, 0.0973], [0.0404, 0.4043, 0.3008], [0.2273, 0.3654, 0.6646], [0.3008, 0.0404, 0.4043], [0.3354, 0.7727, 0.6346], [0.3654, 0.6646, 0.2273], [0.4043, 0.3008, 0.0404], [0.5957, 0.6992, 0.9596], [0.6346, 0.3354, 0.7727], [0.6646, 0.2273, 0.3654], [0.6992, 0.9596, 0.5957], [0.7727, 0.6346, 0.3354], [0.9596, 0.5957, 0.6992]]}

{"formula": "BaBiAs2O8", "functional": "PBE", "state": "relaxed", "n_ef_per_ev_fu": 4.3, "raw_formation_energy_ev_per_atom": -1.483, "sg": "No. 155", "lattice": [[2.5854, 1.4927, 8.3107], [-2.5854, 1.4927, 8.3107], [0.0000, -2.9853, 8.3107]], "species": ["Ba", "Bi", "As", "As", "O", "O", "O", "O", "O", "O", "O", "O"], "fractional_positions": [[0.0000, 0.0000, 0.0000], [0.5000, 0.5000, 0.5000], [0.2470, 0.2470, 0.2470], [0.7530, 0.7530, 0.7530], [0.0940, 0.4558, 0.7730], [0.2270, 0.5442, 0.9060], [0.3152, 0.3152, 0.3152], [0.4558, 0.7730, 0.0940], [0.5442, 0.9060, 0.2270], [0.6848, 0.6848, 0.6848], [0.7730, 0.0940, 0.4558], [0.9060, 0.2270, 0.5442]]}

{"formula": "USn2I8", "functional": "PBE", "state": "relaxed", "n_ef_per_ev_fu": 4.0, "raw_formation_energy_ev_per_atom": -0.586, "sg": "No. 12", "lattice": [[7.5433, -4.1076, 0.0000], [7.5433, 4.1076, 0.0000], [-1.3764, 0.0000, 9.6516]], "species": ["U", "Sn", "Sn", "I", "I", "I", "I", "I", "I", "I", "I"], "fractional_positions": [[0.0000, 0.0000, 0.0000], [0.1459, 0.1459, 0.3917], [0.8541, 0.8541, 0.6083], [0.1036, 0.1036, 0.7648], [0.1230, 0.6242, 0.8437], [0.3355, 0.3355, 0.4346], [0.3758, 0.8770, 0.1563], [0.6242, 0.1230, 0.8437], [0.6645, 0.6645, 0.5654], [0.8770, 0.3758, 0.1563], [0.8964, 0.8964, 0.2352]]}

{"formula": "YHf2Ir3", "functional": "PBE", "state": "relaxed", "n_ef_per_ev_fu": 5.6, "e_form_ev_per_atom": -0.90, "sg": "No. 123", "lattice": [[3.2719, 0.0000, 0.0000], [0.0000, 3.2719, 0.0000], [0.0000, 0.0000, 10.4660]], "species": ["Y", "Hf", "Hf", "Ir", "Ir", "Ir"], "fractional_positions": [[0.0000, 0.0000, 0.0000], [0.0000, 0.0000, 0.3397], [0.0000, 0.0000, 0.6603], [0.5000, 0.5000, 0.1965], [0.5000, 0.5000, 0.5000], [0.5000, 0.5000, 0.8035]]}

{"formula": "Rb2PaMnSe5", "functional": "PBE", "state": "relaxed", "n_ef_per_ev_fu": 2.5, "raw_formation_energy_ev_per_atom": -1.071, "sg": "No. 36", "lattice": [[2.1395, -10.2512, 0.0000], [2.1395, 10.2512, 0.0000], [0.0000, 0.0000, 14.3999]], "species": ["Rb", "Rb", "Rb", "Rb", "Pa", "Pa", "Mn", "Mn", "Se", "Se", "Se", "Se", "Se", "Se", "Se", "Se", "Se", "Se"], "fractional_positions": [[0.1218, 0.8782, 0.5000], [0.1254, 0.8746, 0.8562], [0.8746, 0.1254, 0.3562], [0.8782, 0.1218, 0.0000], [0.2032, 0.7968, 0.1903], [0.7968, 0.2032, 0.6903], [0.4251, 0.5749, 0.5860], [0.5749, 0.4251, 0.0860], [0.0629, 0.9371, 0.1688], [0.3043, 0.6957, 0.5571], [0.3057, 0.6943, 0.8158], [0.3308, 0.6692, 0.1786], [0.4911, 0.5089, 0.4582], [0.5089, 0.4911, 0.9582], [0.6692, 0.3308, 0.6786], [0.6943, 0.3057, 0.3158], [0.6957, 0.3043, 0.0571], [0.9371, 0.0629, 0.6688]]}

{"formula": "Ce4Pr3Si4", "functional": "PBE", "state": "relaxed", "n_ef_per_ev_fu": 19.3, "raw_formation_energy_ev_per_atom": -0.486, "sg": "No. 71", "lattice": [[-1.9804, 4.2412, 8.6558], [1.9804, -4.2412, 8.6558], [1.9804, 4.2412, -8.6558]], "species": ["Ce", "Ce", "Ce", "Ce", "Pr", "Pr", "Pr", "Si", "Si", "Si", "Si"], "fractional_positions": [[0.0068, 0.1712, 0.8356], [0.3356, 0.1712, 0.1644], [0.6644, 0.8288, 0.8356], [0.9932, 0.8288, 0.1644], [0.0000, 0.5000, 0.5000], [0.4044, 0.4044, 0.0000], [0.5956, 0.5956, 0.0000], [0.2713, 0.7713, 0.5000], [0.2767, 0.0000, 0.2767], [0.7233, 0.0000, 0.7233], [0.7287, 0.2287, 0.5000]]}

{"formula": "PaFeRe", "functional": "PBE", "state": "relaxed", "de_polymorph_ev_per_fu": 0.00, "n_ef_per_ev_fu": 4.7, "e_form_ev_per_atom": -0.14, "sg": "No. 74", "lattice": [[5.0601, 0.0000, 0.0000], [0.0000, 5.2147, 0.0000], [0.0000, 0.0000, 7.7950]], "species": ["Pa", "Pa", "Pa", "Pa", "Fe", "Fe", "Fe", "Fe", "Re", "Re", "Re", "Re"], "fractional_positions": [[0.0000, 0.2500, 0.1281], [0.0000, 0.7500, 0.8719], [0.5000, 0.2500, 0.3719], [0.5000, 0.7500, 0.6281], [0.2500, 0.2500, 0.7500], [0.2500, 0.7500, 0.2500], [0.7500, 0.2500, 0.7500], [0.7500, 0.7500, 0.2500], [0.0000, 0.0000, 0.5000], [0.0000, 0.5000, 0.5000], [0.5000, 0.0000, 0.0000], [0.5000, 0.5000, 0.0000]]}

{"formula": "VAs3S", "functional": "PBE", "state": "relaxed", "de_polymorph_ev_per_fu": 0.00, "n_ef_per_ev_fu": 5.4, "raw_formation_energy_ev_per_atom": 0.366, "sg": "No. 221", "lattice": [[4.6968, 0.0000, 0.0000], [0.0000, 4.6968, 0.0000], [0.0000, 0.0000, 4.6968]], "species": ["V", "As", "As", "As", "S"], "fractional_positions": [[0.0000, 0.0000, 0.0000], [0.0000, 0.0000, 0.5000], [0.0000, 0.5000, 0.0000], [0.5000, 0.0000, 0.0000], [0.5000, 0.5000, 0.5000]]}

{"formula": "Er3Tm10Pb3", "functional": "PBE", "state": "relaxed", "n_ef_per_ev_fu": 21.0, "e_form_ev_per_atom": -0.10, "sg": "No. 189", "lattice": [[9.2226, 0.0000, 0.0000], [-4.6113, 7.9870, 0.0000], [0.0000, 0.0000, 6.3778]], "species": ["Er", "Er", "Er", "Tm", "Tm", "Tm", "Tm", "Tm", "Tm", "Tm", "Tm", "Tm", "Tm", "Pb", "Pb", "Pb"], "fractional_positions": [[0.0000, 0.4086, 0.0000], [0.4086, 0.0000, 0.0000], [0.5914, 0.5914, 0.0000], [0.0000, 0.2355, 0.5000], [0.0000, 0.7734, 0.0000], [0.2266, 0.2266, 0.0000], [0.2355, 0.0000, 0.5000], [0.3333, 0.6667, 0.2571], [0.3333, 0.6667, 0.7429], [0.6667, 0.3333, 0.2571], [0.6667, 0.3333, 0.7429], [0.7645, 0.7645, 0.5000], [0.7734, 0.0000, 0.0000], [0.0000, 0.5971, 0.5000], [0.4029, 0.4029, 0.5000], [0.5971, 0.0000, 0.5000]]}

{"formula": "Be2Pt", "functional": "PBE", "state": "relaxed", "de_polymorph_ev_per_fu": 0.78, "n_ef_per_ev_fu": 1.2, "e_form_ev_per_atom": -0.39, "sg": "No. 189", "lattice": [[5.7218, 0.0000, 0.0000], [-2.8609, 4.9553, 0.0000], [0.0000, 0.0000, 3.6707]], "species": ["Be", "Be", "Be", "Be", "Be", "Be", "Pt", "Pt", "Pt"], "fractional_positions": [[0.0000, 0.2378, 0.0000], [0.0000, 0.5682, 0.5000], [0.2378, 0.0000, 0.0000], [0.4318, 0.4318, 0.5000], [0.5682, 0.0000, 0.5000], [0.7622, 0.7622, 0.0000], [0.0000, 0.0000, 0.5000], [0.3333, 0.6667, 0.0000], [0.6667, 0.3333, 0.0000]]}

{"formula": "LaTbPm2Tm4", "functional": "PBE", "state": "relaxed", "n_ef_per_ev_fu": 19.8, "e_form_ev_per_atom": 0.41, "sg": "No. 74", "lattice": [[-3.3885, 5.9041, 6.6107], [3.3885, -5.9041, 6.6107], [3.3885, 5.9041, -6.6107]], "species": ["La", "La", "Tb", "Tb", "Pm", "Pm", "Pm", "Pm", "Tm", "Tm", "Tm", "Tm", "Tm", "Tm", "Tm", "Tm"], "fractional_positions": [[0.5000, 0.0000, 0.0000], [0.5000, 0.5000, 0.5000], [0.0000, 0.0000, 0.0000], [0.5000, 0.0000, 0.5000], [0.0000, 0.0000, 0.5000], [0.0000, 0.5000, 0.0000], [0.0000, 0.5000, 0.5000], [0.5000, 0.5000, 0.0000], [0.2489, 0.2492, 0.9997], [0.2505, 0.7508, 0.4997], [0.2507, 0.2503, 0.4996], [0.2507, 0.7512, 0.0004], [0.7493, 0.2488, 0.9996], [0.7493, 0.7497, 0.5004], [0.7495, 0.2492, 0.5003], [0.7511, 0.7508, 0.0003]]}

{"formula": "Li2InPd2", "functional": "PBE", "state": "relaxed", "de_polymorph_ev_per_fu": 0.00, "n_ef_per_ev_fu": 1.5, "e_form_ev_per_atom": -0.50, "sg": "No. 12", "lattice": [[7.7341, 0.0000, 0.0000], [0.0000, 4.4123, 0.0000], [-2.6483, 0.0000, 4.7037]], "species": ["Li", "Li", "Li", "Li", "In", "In", "Pd", "Pd", "Pd", "Pd"], "fractional_positions": [[0.2040, 0.0000, 0.1141], [0.2960, 0.5000, 0.8859], [0.7040, 0.5000, 0.1141], [0.7960, 0.0000, 0.8859], [0.0000, 0.0000, 0.5000], [0.5000, 0.5000, 0.5000], [0.0987, 0.5000, 0.2981], [0.4013, 0.0000, 0.7019], [0.5987, 0.0000, 0.2981], [0.9013, 0.5000, 0.7019]]}

{"formula": "Na3U3SnN8", "functional": "PBE", "state": "relaxed", "n_ef_per_ev_fu": 5.0, "raw_formation_energy_ev_per_atom": -0.717, "sg": "No. 166", "lattice": [[3.4349, 1.9832, 5.7203], [-3.4349, 1.9832, 5.7203], [0.0000, -3.9663, 5.7203]], "species": ["Na", "Na", "Na", "U", "U", "U", "Sn", "N", "N", "N", "N", "N", "N", "N", "N"], "fractional_positions": [[0.0000, 0.5000, 0.5000], [0.5000, 0.0000, 0.5000], [0.5000, 0.5000, 0.0000], [0.0000, 0.0000, 0.5000], [0.0000, 0.5000, 0.0000], [0.5000, 0.0000, 0.0000], [0.5000, 0.5000, 0.5000], [0.2186, 0.7314, 0.7314], [0.2268, 0.2268, 0.2268], [0.2686, 0.2686, 0.7814], [0.2686, 0.7814, 0.2686], [0.7314, 0.2186, 0.7314], [0.7314, 0.7314, 0.2186], [0.7732, 0.7732, 0.7732], [0.7814, 0.2686, 0.2686]]}

{"formula": "PuIClF", "functional": "PBE", "state": "relaxed", "n_ef_per_ev_fu": 9.1, "raw_formation_energy_ev_per_atom": -2.192, "sg": "No. 160", "lattice": [[4.1613, 0.0000, 0.0000], [-2.0806, 3.6038, 0.0000], [0.0000, 0.0000, 23.1070]], "species": ["Pu", "Pu", "Pu", "I", "I", "I", "Cl", "Cl", "Cl", "F", "F", "F"], "fractional_positions": [[0.0000, 0.0000, 0.0000], [0.3333, 0.6667, 0.6667], [0.6667, 0.3333, 0.3333], [0.0000, 0.0000, 0.7638], [0.3333, 0.6667, 0.4304], [0.6667, 0.3333, 0.0971], [0.0000, 0.0000, 0.5928], [0.3333, 0.6667, 0.2594], [0.6667, 0.3333, 0.9261], [0.0000, 0.0000, 0.3337], [0.3333, 0.6667, 0.0003], [0.6667, 0.3333, 0.6670]]}

{"formula": "AcCe3Pu2Te6", "functional": "PBE", "state": "relaxed", "n_ef_per_ev_fu": 43.1, "raw_formation_energy_ev_per_atom": -1.287, "sg": "No. 12", "lattice": [[3.9031, -6.7528, 0.0000], [3.9031, 6.7528, 0.0000], [-2.6056, 0.0000, 7.4521]], "species": ["Ac", "Ce", "Ce", "Ce", "Pu", "Pu", "Te", "Te", "Te", "Te", "Te", "Te"], "fractional_positions": [[0.0000, 0.0000, 0.0000], [0.1610, 0.8390, 0.5000], [0.5000, 0.5000, 0.5000], [0.8390, 0.1610, 0.5000], [0.3319, 0.6681, 0.0000], [0.6681, 0.3319, 0.0000], [0.0848, 0.4302, 0.2530], [0.2642, 0.2642, 0.7529], [0.4302, 0.0848, 0.2530], [0.5698, 0.9152, 0.7470], [0.7358, 0.7358, 0.2471], [0.9152, 0.5698, 0.7470]]}

{"formula": "NdSm5Sb4", "functional": "PBE", "state": "relaxed", "n_ef_per_ev_fu": 6.6, "raw_formation_energy_ev_per_atom": -0.778, "sg": "No. 12", "lattice": [[9.5590, -2.2023, 0.0000], [9.5590, 2.2023, 0.0000], [-2.3386, 0.0000, 8.3430]], "species": ["Nd", "Sm", "Sm", "Sm", "Sm", "Sm", "Sb", "Sb", "Sb", "Sb"], "fractional_positions": [[0.0000, 0.0000, 0.0000], [0.0000, 0.0000, 0.5000], [0.3248, 0.3248, 0.6517], [0.3375, 0.3375, 0.1692], [0.6625, 0.6625, 0.8308], [0.6752, 0.6752, 0.3483], [0.1709, 0.1709, 0.0919], [0.4927, 0.4927, 0.7407], [0.5073, 0.5073, 0.2593], [0.8291, 0.8291, 0.9081]]}

Values for M_tot, μB per formula unit, ordered as above
7.076 0.166 0.669 0.000 0.000 0.790 2.000 0.000 4.000 2.010 1.435 0.326 0.006 0.000 0.832 0.000 1.122 5.000 15.650 0.000